OsBr2: relaxed, PBEsol.

The structure belongs to space group I4/mmm (No. 139); the cell edges are 3.1562, 3.1562 and 12.2255 Å and the angles 90.00°, 90.00° and 90.00°. The inequivalent atoms are Os at (0.0000, 0.0000, 0.0000) and Br at (0.0000, 0.0000, 0.3729).

The value obtained for the calculated volume is 20.30 A^3/atom. Its calculated density is 9.546 Mg/m³. The calculation puts the energy relative to the elements, uncorrected at 3.20 eV per formula unit. As for the crystal system: tetragonal. The total energy is -4.251 eV/atom.